# La9Sm4Zn11

A relaxed La9Sm4Zn11 crystal (PBE, Alexandria).

Results
The electronic total energy is -0.254 Ry per atom. The calculation puts the volume at 26.36 Å³ per atom. Its formation energy is -0.243 eV per atom. Its density of states at the Fermi level is 0.9710 states/eV/atom.

Lattice parameters (Å, degrees): 15.5606 22.4469 3.6224 90.00 90.00 90.00
Closest atoms and distances in Å follow each position.
Space group Cmmm (No. 65)
One atom of each set of equivalent atoms:
La (0.0000, 0.0000, 0.0000) (multiplicity 2)  4 Sm 3.21, 4 Zn 3.53
La (0.1146, 0.2414, 0.0000) (multiplicity 8)  8 Zn 3.18-3.49, 1 Sm 3.37
La (0.1226, 0.4150, 0.0000) (multiplicity 8)  8 Zn 3.21-3.35, 1 Sm 3.46
Sm (0.1555, 0.0941, 0.0000) (multiplicity 8)  6 Zn 3.10-3.16, 3 La 3.21-3.46
Zn (0.0000, 0.1351, 0.5000) (multiplicity 4)  4 Sm 3.16, 6 La 3.49-3.53
Zn (0.0000, 0.3331, 0.5000) (multiplicity 4)  8 La 3.21-3.27
Zn (0.0000, 0.5000, 0.5000) (multiplicity 2)  8 La 3.25, 2 Zn 3.62
Zn (0.2378, 0.3207, 0.5000) (multiplicity 8)  2 Sm 3.11, 6 La 3.18-3.31, 1 Zn 3.20
Zn (0.2436, 0.0000, 0.5000) (multiplicity 4)  4 Sm 3.10, 4 La 3.35